(1)
LiZr3 at its PBEsol-relaxed geometry. Source: Alexandria, functional meta-GGA SCAN.

The structure in CIF format:
```
data_LiZr3
_chemical_formula_sum 'Li3 Zr9'
_space_group_name_H-M_alt 'R -3 m'
_space_group_IT_number 166
_space_group_name_Hall '-R 3 2"'
_cell_length_a 3.1036
_cell_length_b 3.1036
_cell_length_c 31.5879
_cell_angle_alpha 90.00
_cell_angle_beta 90.00
_cell_angle_gamma 120.00
loop_
_atom_site_label
_atom_site_fract_x
_atom_site_fract_y
_atom_site_fract_z
Li1 0.0000 0.0000 0.0000
Zr1 0.0000 0.0000 0.2476
Zr2 0.0000 0.0000 0.5000
```

Properties
Density of states at the Fermi level = 1.122 states/eV per atom
Relative energy among the computed polymorphs = 29 meV per atom
E_form = 63.5 kJ/mol of formula units

(2)
Li5Zr at its PBEsol-relaxed geometry. Source: Alexandria, functional meta-GGA SCAN.

The structure in CIF format:
```
data_Li5Zr
_chemical_formula_sum 'Li10 Zr2'
_space_group_name_H-M_alt 'C 1 m 1'
_space_group_IT_number 8
_cell_length_a 11.679
_cell_length_b 2.801
_cell_length_c 7.344
_cell_angle_alpha 90.00
_cell_angle_beta 105.13
_cell_angle_gamma 90.00
loop_
_space_group_symop_operation_xyz
'x,y,z'
'x,-y,z'
'x+1/2,y+1/2,z'
'x+1/2,-y+1/2,z'
loop_
_atom_site_label
_atom_site_fract_x
_atom_site_fract_y
_atom_site_fract_z
Li1 0.000 0.000 0.000
Li2 0.059 0.000 0.621
Li3 0.151 0.500 0.331
Li4 0.224 0.500 0.955
Li5 0.332 0.000 0.673
Zr1 0.381 0.000 0.290
```

Properties
Density of states at the Fermi level = 0.440 states/eV per atom
E_form = 107.5 kJ/mol of formula units

(3)
Lu at its PBEsol-relaxed geometry. Source: Alexandria, functional meta-GGA SCAN.

The structure in CIF format:
```
data_Lu
_chemical_formula_sum 'Lu3'
_space_group_name_H-M_alt 'P 6/m m m'
_space_group_IT_number 191
_space_group_name_Hall '-P 6 2'
_cell_length_a 5.3265
_cell_length_b 5.3265
_cell_length_c 3.3617
_cell_angle_alpha 90.00
_cell_angle_beta 90.00
_cell_angle_gamma 120.00
loop_
_atom_site_label
_atom_site_fract_x
_atom_site_fract_y
_atom_site_fract_z
Lu1 0.0000 0.0000 0.0000
Lu2 0.3333 0.6667 0.5000
```

Properties
Density of states at the Fermi level = 1.590 states/eV per atom
Relative energy among the computed polymorphs = 72 meV per atom
E_form = 6.9 kJ/mol of formula units

(4)
Lu at its PBEsol-relaxed geometry. Source: Alexandria, functional meta-GGA SCAN.

The structure in CIF format:
```
data_Lu
_chemical_formula_sum 'Lu9'
_space_group_name_H-M_alt 'R -3 m'
_space_group_IT_number 166
_space_group_name_Hall '-R 3 2"'
_cell_length_a 3.4162
_cell_length_b 3.4162
_cell_length_c 24.4201
_cell_angle_alpha 90.00
_cell_angle_beta 90.00
_cell_angle_gamma 120.00
loop_
_atom_site_label
_atom_site_fract_x
_atom_site_fract_y
_atom_site_fract_z
Lu1 0.0000 0.0000 0.0000
Lu2 0.0000 0.0000 0.2219
```

Properties
Density of states at the Fermi level = 1.292 states/eV per atom
Relative energy among the computed polymorphs = 9 meV per atom
E_form = 0.8 kJ/mol of formula units

(5)
Lu at its PBEsol-relaxed geometry. Source: Alexandria, functional meta-GGA SCAN.

The structure in CIF format:
```
data_Lu
_chemical_formula_sum 'Lu4'
_space_group_name_H-M_alt 'F m -3 m'
_space_group_IT_number 225
_space_group_name_Hall '-F 4 2 3'
_cell_length_a 4.781
_cell_length_b 4.781
_cell_length_c 4.781
_cell_angle_alpha 90.00
_cell_angle_beta 90.00
_cell_angle_gamma 90.00
loop_
_atom_site_label
_atom_site_fract_x
_atom_site_fract_y
_atom_site_fract_z
Lu1 0.000 0.000 0.000
```

Properties
Density of states at the Fermi level = 1.321 states/eV per atom
Relative energy among the computed polymorphs = 42 meV per atom
E_form = 4.1 kJ/mol of formula units

(6)
Lu at its PBEsol-relaxed geometry. Source: Alexandria, functional meta-GGA SCAN.

The structure in CIF format:
```
data_Lu
_chemical_formula_sum 'Lu2'
_space_group_name_H-M_alt 'P 63/m m c'
_space_group_IT_number 194
_space_group_name_Hall '-P 6c 2c'
_cell_length_a 3.4552
_cell_length_b 3.4552
_cell_length_c 5.3606
_cell_angle_alpha 90.00
_cell_angle_beta 90.00
_cell_angle_gamma 120.00
loop_
_atom_site_label
_atom_site_fract_x
_atom_site_fract_y
_atom_site_fract_z
Lu1 0.3333 0.6667 0.2500
```

Properties
Density of states at the Fermi level = 1.479 states/eV per atom
Relative energy among the computed polymorphs = 0 meV per atom
E_form = 0.0 kJ/mol of formula units

(7)
Lu3Mg at its PBEsol-relaxed geometry. Source: Alexandria, functional meta-GGA SCAN.

The structure in CIF format:
```
data_Lu3Mg
_chemical_formula_sum 'Lu6 Mg2'
_space_group_name_H-M_alt 'P 63/m m c'
_space_group_IT_number 194
_space_group_name_Hall '-P 6c 2c'
_cell_length_a 6.7540
_cell_length_b 6.7540
_cell_length_c 5.3777
_cell_angle_alpha 90.00
_cell_angle_beta 90.00
_cell_angle_gamma 120.00
loop_
_atom_site_label
_atom_site_fract_x
_atom_site_fract_y
_atom_site_fract_z
Lu1 0.1682 0.3363 0.2500
Mg1 0.3333 0.6667 0.7500
```

Properties
Density of states at the Fermi level = 1.145 states/eV per atom
E_form = 5.8 kJ/mol of formula units

(8)
LuMg3 at its PBEsol-relaxed geometry. Source: Alexandria, functional meta-GGA SCAN.

The structure in CIF format:
```
data_LuMg3
_chemical_formula_sum 'Lu1 Mg3'
_space_group_name_H-M_alt 'P m -3 m'
_space_group_IT_number 221
_space_group_name_Hall '-P 4 2 3'
_cell_length_a 4.571
_cell_length_b 4.571
_cell_length_c 4.571
_cell_angle_alpha 90.00
_cell_angle_beta 90.00
_cell_angle_gamma 90.00
loop_
_atom_site_label
_atom_site_fract_x
_atom_site_fract_y
_atom_site_fract_z
Lu1 0.000 0.000 0.000
Mg1 0.000 0.500 0.500
```

Properties
Density of states at the Fermi level = 0.754 states/eV per atom
E_form = -4.4 kJ/mol of formula units

Repeat the fifth record exactly.
Lu at its PBEsol-relaxed geometry. Source: Alexandria, functional meta-GGA SCAN.

The structure in CIF format:
```
data_Lu
_chemical_formula_sum 'Lu4'
_space_group_name_H-M_alt 'F m -3 m'
_space_group_IT_number 225
_space_group_name_Hall '-F 4 2 3'
_cell_length_a 4.781
_cell_length_b 4.781
_cell_length_c 4.781
_cell_angle_alpha 90.00
_cell_angle_beta 90.00
_cell_angle_gamma 90.00
loop_
_atom_site_label
_atom_site_fract_x
_atom_site_fract_y
_atom_site_fract_z
Lu1 0.000 0.000 0.000
```

Properties
Density of states at the Fermi level = 1.321 states/eV per atom
Relative energy among the computed polymorphs = 42 meV per atom
E_form = 4.1 kJ/mol of formula units